# 1
First-principles (PBE) data for crystalline Er2Tm3Lu2Ni2Te2 at its relaxed geometry, as listed in OQMD.

Values from the calculation:
Energy   -5.131 eV/atom
ρ   9.4 g cm⁻³
Size of the total moment   0.02 μB/cell
Volume   551.2 Å³/cell

Geometry as CIF:
```
data_Er2Tm3Lu2Ni2Te2
_cell_length_a 3.807
_cell_length_b 15.327
_cell_length_c 9.446
_cell_angle_alpha 90.00
_cell_angle_beta 90.00
_cell_angle_gamma 90.00
_space_group_name_H-M_alt 'I m m 2'
_space_group_IT_number 44
loop_
_space_group_symop_operation_xyz
'x,y,z'
'-x,-y,z'
'-x,y,z'
'x,-y,z'
'x+1/2,y+1/2,z+1/2'
'-x+1/2,-y+1/2,z+1/2'
'-x+1/2,y+1/2,z+1/2'
'x+1/2,-y+1/2,z+1/2'
loop_
_atom_site_label
_atom_site_type_symbol
_atom_site_fract_x
_atom_site_fract_y
_atom_site_fract_z
Er1 Er 0.000 0.134 0.000
Tm1 Tm 0.000 0.000 0.581
Tm2 Tm 0.000 0.315 0.205
Lu1 Lu 0.000 0.354 0.853
Ni1 Ni 0.000 0.236 0.512
Te1 Te 0.000 0.000 0.244
Te2 Te 0.000 0.500 0.348
```

=====

# 2
First-principles (PBE) data for crystalline HoTaNO at its relaxed geometry, as listed in OQMD.

Values from the calculation:
Energy   -8.912 eV/atom
ρ   12.6 g cm⁻³
Size of the total moment   0.00 μB/cell
Volume   99.3 Å³/cell

Geometry as CIF:
```
data_HoTaNO
_cell_length_a 4.721
_cell_length_b 4.721
_cell_length_c 4.457
_cell_angle_alpha 90.00
_cell_angle_beta 90.00
_cell_angle_gamma 90.00
_space_group_name_H-M_alt 'P 4/n m m'
_space_group_IT_number 129
loop_
_space_group_symop_operation_xyz
'x,y,z'
'-x,-y,-z'
'-y+1/2,x,z'
'y+1/2,-x,-z'
'-x+1/2,-y+1/2,z'
'x+1/2,y+1/2,-z'
'y,-x+1/2,z'
'-y,x+1/2,-z'
'x+1/2,-y,-z'
'-x+1/2,y,z'
'-y,-x,-z'
'y,x,z'
'-x,y+1/2,-z'
'x,-y+1/2,z'
'y+1/2,x+1/2,-z'
'-y+1/2,-x+1/2,z'
loop_
_atom_site_label
_atom_site_type_symbol
_atom_site_fract_x
_atom_site_fract_y
_atom_site_fract_z
Ho1 Ho 0.250 0.750 0.000
Ta1 Ta 0.250 0.250 0.500
N1 N 0.250 0.250 0.001
O1 O 0.250 0.750 0.500
```

=====

# 3
First-principles (PBE) data for crystalline Rb2Ag2O5 at its relaxed geometry, as listed in OQMD.

Values from the calculation:
Energy   -3.668 eV/atom
ρ   4.1 g cm⁻³
Volume   189.4 Å³/cell

Geometry as CIF:
```
data_Rb2Ag2O5
_cell_length_a 4.294
_cell_length_b 4.294
_cell_length_c 10.271
_cell_angle_alpha 90.00
_cell_angle_beta 90.00
_cell_angle_gamma 90.00
_space_group_name_H-M_alt 'P 4/m m m'
_space_group_IT_number 123
_space_group_name_Hall '-P 4 2'
loop_
_atom_site_label
_atom_site_type_symbol
_atom_site_fract_x
_atom_site_fract_y
_atom_site_fract_z
Rb1 Rb 0.000 0.000 0.245
Ag1 Ag 0.500 0.500 0.000
Ag2 Ag 0.500 0.500 0.500
O1 O 0.000 0.000 0.500
O2 O 0.000 0.500 0.069
```

=====

# 4
First-principles (PBE) data for crystalline CdNiAg2Se3S at its relaxed geometry, as listed in OQMD.

Values from the calculation:
Energy   -3.497 eV/atom
ρ   5.6 g cm⁻³
Size of the total moment   0.07 μB/cell
Volume   392.0 Å³/cell

Geometry as CIF:
```
data_CdNiAg2Se3S
_cell_length_a 8.151
_cell_length_b 8.227
_cell_length_c 7.124
_cell_angle_alpha 90.00
_cell_angle_beta 124.88
_cell_angle_gamma 90.00
_space_group_name_H-M_alt 'C 1 m 1'
_space_group_IT_number 8
loop_
_space_group_symop_operation_xyz
'x,y,z'
'x,-y,z'
'x+1/2,y+1/2,z'
'x+1/2,-y+1/2,z'
loop_
_atom_site_label
_atom_site_type_symbol
_atom_site_fract_x
_atom_site_fract_y
_atom_site_fract_z
Cd1 Cd 0.000 0.000 0.000
Ni1 Ni 0.013 0.500 0.998
Ag1 Ag 0.013 0.263 0.517
Se1 Se 0.125 0.280 0.239
Se2 Se 0.170 0.000 0.769
S1 S 0.117 0.500 0.780
```

=====

# 5
First-principles (PBE) data for crystalline ZnInGaSe2S2 at its relaxed geometry, as listed in OQMD.

Values from the calculation:
Energy   -3.830 eV/atom
ρ   4.5 g cm⁻³
Volume   174.2 Å³/cell

Geometry as CIF:
```
data_ZnInGaSe2S2
_cell_length_a 5.656
_cell_length_b 5.673
_cell_length_c 6.702
_cell_angle_alpha 114.06
_cell_angle_beta 114.92
_cell_angle_gamma 90.02
_space_group_name_H-M_alt 'P 1'
_space_group_IT_number 1
loop_
_space_group_symop_operation_xyz
'x,y,z'
loop_
_atom_site_label
_atom_site_type_symbol
_atom_site_fract_x
_atom_site_fract_y
_atom_site_fract_z
Zn1 Zn 0.000 0.000 0.000
In1 In 0.501 0.483 0.001
Ga1 Ga 0.738 0.238 0.500
Se1 Se 0.105 0.619 0.718
Se2 Se 0.910 0.880 0.283
S1 S 0.371 0.359 0.266
S2 S 0.626 0.100 0.736
```

=====

# 6
First-principles (PBE) data for crystalline IrOF2 at its relaxed geometry, as listed in OQMD.

Values from the calculation:
Energy   -5.301 eV/atom
ρ   9.4 g cm⁻³
Size of the total moment   0.00 μB/cell
Volume   173.1 Å³/cell

Geometry as CIF:
```
data_IrOF2
_cell_length_a 4.775
_cell_length_b 7.001
_cell_length_c 5.234
_cell_angle_alpha 90.00
_cell_angle_beta 98.35
_cell_angle_gamma 90.00
_space_group_name_H-M_alt 'P 1 21 1'
_space_group_IT_number 4
loop_
_space_group_symop_operation_xyz
'x,y,z'
'-x,y+1/2,-z'
loop_
_atom_site_label
_atom_site_type_symbol
_atom_site_fract_x
_atom_site_fract_y
_atom_site_fract_z
Ir1 Ir 0.001 0.000 0.319
Ir2 Ir 0.453 0.708 0.085
O1 O 0.232 0.784 0.334
O2 O 0.293 0.447 0.970
F1 F 0.175 0.775 0.781
F2 F 0.231 0.098 0.661
F3 F 0.288 0.425 0.483
F4 F 0.307 0.133 0.179
```

=====

# 7
First-principles (PBE) data for crystalline GdAgSnS3 at its relaxed geometry, as listed in OQMD.

Values from the calculation:
Energy   -4.954 eV/atom
ρ   5.8 g cm⁻³
Size of the total moment   0.01 μB/cell
Volume   554.1 Å³/cell

Geometry as CIF:
```
data_GdAgSnS3
_cell_length_a 17.417
_cell_length_b 3.936
_cell_length_c 8.331
_cell_angle_alpha 90.00
_cell_angle_beta 104.04
_cell_angle_gamma 90.00
_space_group_name_H-M_alt 'C 1 2/m 1'
_space_group_IT_number 12
loop_
_space_group_symop_operation_xyz
'x,y,z'
'-x,-y,-z'
'-x,y,-z'
'x,-y,z'
'x+1/2,y+1/2,z'
'-x+1/2,-y+1/2,-z'
'-x+1/2,y+1/2,-z'
'x+1/2,-y+1/2,z'
loop_
_atom_site_label
_atom_site_type_symbol
_atom_site_fract_x
_atom_site_fract_y
_atom_site_fract_z
Gd1 Gd 0.165 0.000 0.091
Ag1 Ag 0.028 0.500 0.215
Sn1 Sn 0.132 0.000 0.576
S1 S 0.000 0.000 0.000
S2 S 0.000 0.500 0.500
S3 S 0.171 0.500 0.856
S4 S 0.183 0.500 0.328
```

=====

# 8
First-principles (PBE) data for crystalline MgIrWAu at its relaxed geometry, as listed in OQMD.

Values from the calculation:
Energy   -6.222 eV/atom
ρ   15.6 g cm⁻³
Size of the total moment   0.38 μB/cell
Volume   255.1 Å³/cell

Geometry as CIF:
```
data_MgIrWAu
_cell_length_a 6.342
_cell_length_b 6.342
_cell_length_c 6.342
_cell_angle_alpha 90.00
_cell_angle_beta 90.00
_cell_angle_gamma 90.00
_space_group_name_H-M_alt 'F -4 3 m'
_space_group_IT_number 216
_space_group_name_Hall 'F -4 2 3'
loop_
_atom_site_label
_atom_site_type_symbol
_atom_site_fract_x
_atom_site_fract_y
_atom_site_fract_z
Mg1 Mg 0.000 0.000 0.000
Ir1 Ir 0.250 0.250 0.750
W1 W 0.250 0.250 0.250
Au1 Au 0.000 0.000 0.500
```